NaTc2RuSe: optimized geometry, PBE-GGA.

Summary:
DOS at the Fermi energy	7.3	states/eV per cell
uncorrected formation energy	2499	meV per atom
E_tot	-4.4635	eV/atom
size of the total moment	4.32	μB/cell

The structure in CIF format:
```
data_NaTc2RuSe
_cell_length_a 4.585
_cell_length_b 4.585
_cell_length_c 4.571
_cell_angle_alpha 90.00
_cell_angle_beta 90.00
_cell_angle_gamma 90.00
_space_group_name_H-M_alt 'P 4/m m m'
_space_group_IT_number 123
_space_group_name_Hall '-P 4 2'
loop_
_atom_site_label
_atom_site_type_symbol
_atom_site_fract_x
_atom_site_fract_y
_atom_site_fract_z
_atom_site_occupancy
Na1 Na 0.000 0.000 0.000 1
Tc1 Tc 0.000 0.500 0.000 1
Ru1 Ru 0.000 0.000 0.500 1
Se1 Se 0.500 0.500 0.500 1
```

NaTeSe2: optimized geometry, PBE-GGA.

Summary:
DOS at the Fermi energy	7.3	states/eV per cell
uncorrected formation energy	-107	meV per atom
E_tot	-2.9645	eV/atom
size of the total moment	0.00	μB/cell

The structure in CIF format:
```
data_NaTeSe2
_cell_length_a 3.7009
_cell_length_b 3.7009
_cell_length_c 28.1757
_cell_angle_alpha 90.00
_cell_angle_beta 90.00
_cell_angle_gamma 120.00
_space_group_name_H-M_alt 'R -3 m'
_space_group_IT_number 166
_space_group_name_Hall '-R 3 2"'
loop_
_atom_site_label
_atom_site_type_symbol
_atom_site_fract_x
_atom_site_fract_y
_atom_site_fract_z
_atom_site_occupancy
Na1 Na 0.0000 0.0000 0.0000 1
Te1 Te 0.0000 0.0000 0.5000 1
Se1 Se 0.0000 0.0000 0.4068 1
```

NaScTlF6: optimized geometry, PBE-GGA.

Summary:
DOS at the Fermi energy	7.3	states/eV per cell
uncorrected formation energy	-2894	meV per atom
E_tot	-5.2547	eV/atom
size of the total moment	1.32	μB/cell

The structure in CIF format:
```
data_NaScTlF6
_cell_length_a 5.9688
_cell_length_b 5.9688
_cell_length_c 9.2729
_cell_angle_alpha 90.00
_cell_angle_beta 90.00
_cell_angle_gamma 120.00
_space_group_name_H-M_alt 'P -3 1 c'
_space_group_IT_number 163
_space_group_name_Hall '-P 3 2c'
loop_
_atom_site_label
_atom_site_type_symbol
_atom_site_fract_x
_atom_site_fract_y
_atom_site_fract_z
_atom_site_occupancy
Na1 Na 0.0000 0.0000 0.0000 1
Sc1 Sc 0.3333 0.6667 0.2500 1
Tl1 Tl 0.3333 0.6667 0.7500 1
F1 F 0.0488 0.3746 0.1303 1
```